# 1
# Na2IrCl8, relaxed, DFT GGA-PBE
data_Na2IrCl8
_symmetry_space_group_name_H-M 'C 1 2/m 1'
_symmetry_Int_Tables_number 12
_symmetry_space_group_name_Hall '-C 2y'
_cell_length_a 19.830
_cell_length_b 4.744
_cell_length_c 6.353
_cell_angle_alpha 90.00
_cell_angle_beta 102.23
_cell_angle_gamma 90.00
loop_
_atom_site_label
_atom_site_type_symbol
_atom_site_fract_x
_atom_site_fract_y
_atom_site_fract_z
Na1 Na 0.214 0.000 0.260
Ir1 Ir 0.000 0.500 0.000
Cl1 Cl 0.040 0.000 0.835
Cl2 Cl 0.066 0.500 0.734
Cl3 Cl 0.102 0.500 0.256
Cl4 Cl 0.219 0.000 0.719
# Energy relative to the elements, uncorrected, eV per atom: -0.544
# Total magnetic moment, μB/cell: 2.13
# Final energy, eV/atom: -2.93


# 2
# Na2IrCl, relaxed, DFT GGA-PBE
data_Na2IrCl
_symmetry_space_group_name_H-M 'F m -3 m'
_symmetry_Int_Tables_number 225
_symmetry_space_group_name_Hall '-F 4 2 3'
_cell_length_a 7.227
_cell_length_b 7.227
_cell_length_c 7.227
_cell_angle_alpha 90.00
_cell_angle_beta 90.00
_cell_angle_gamma 90.00
loop_
_atom_site_label
_atom_site_type_symbol
_atom_site_fract_x
_atom_site_fract_y
_atom_site_fract_z
Na1 Na 0.250 0.250 0.250
Ir1 Ir 0.000 0.000 0.000
Cl1 Cl 0.000 0.000 0.500
# Energy relative to the elements, uncorrected, eV per atom: 0.269
# Total magnetic moment, μB/cell: 8.00
# Final energy, eV/atom: -3.07